--- 1 ---
Pr3TlCl PBE relaxed; spin magnetization = 0.105 μB per atom
1.0
-0.2388 -2.0639 -3.6297
9.0629 2.1994 -1.8469
4.5375 -12.8247 6.9935
Pr Tl Cl
12 4 4
Direct
0.7500 0.1547 0.0178
0.2500 0.6854 0.7169
0.2500 0.3453 0.5178
0.7500 0.5212 0.8917
0.7500 0.8146 0.2169
0.7500 0.6547 0.4822
0.2500 0.1854 0.7831
0.2500 0.9788 0.3917
0.2500 0.8453 0.9822
0.7500 0.3146 0.2831
0.2500 0.4788 0.1083
0.7500 0.0212 0.6083
0.7500 0.9159 0.8202
0.7500 0.4159 0.6798
0.2500 0.5841 0.3202
0.2500 0.0841 0.1798
0.2500 0.8276 0.5546
0.7500 0.1724 0.4454
0.7500 0.6724 0.0546
0.2500 0.3276 0.9454


--- 2 ---
Pr3TlCl PBE relaxed; spin magnetization = 0.000 μB per atom
1.0
5.4044 0.0000 0.0000
0.0000 5.4044 0.0000
0.0000 0.0000 5.4044
Pr Tl Cl
3 1 1
Direct
0.0000 0.0000 0.5000
0.5000 0.0000 0.0000
0.0000 0.5000 0.0000
0.5000 0.5000 0.5000
0.0000 0.0000 0.0000


Most favorable structure: 1. The second most favorable one is 176 meV per atom above it.